Compound: FeTcRu2
Source: Alexandria
Functional: PBE
Structure: relaxed

a b c (Å): 5.2845 5.2845 6.6143
angles (deg): 66.45 66.45 90.00
Closest atoms and distances in Å follow each position.
Fractional coordinates of all 8 atoms:
1 Tc 0.0000 0.0000 0.0000  4 Ru 2.39
2 Tc 0.7500 0.2500 0.5000  4 Ru 2.39
3 Fe 0.2500 0.7500 0.5000  4 Ru 2.24
4 Fe 0.5000 0.5000 0.0000  4 Ru 2.24
5 Ru 0.1503 0.6250 0.2500  2 Fe 2.24, 2 Tc 2.39
6 Ru 0.3750 0.4003 0.7500  2 Fe 2.24, 2 Tc 2.39
7 Ru 0.8750 0.8497 0.7500  2 Fe 2.24, 2 Tc 2.39
8 Ru 0.5997 0.1250 0.2500  2 Fe 2.24, 2 Tc 2.39

Computed properties:
* calculated total energy: -8.132 eV/atom



Compound: TiPIr3
Source: Alexandria
Functional: PBE
Structure: relaxed

a b c (Å): 4.3971 4.3971 4.3971
angles (deg): 90.00 90.00 90.00
Closest atoms and distances in Å follow each position.
Fractional coordinates of all 5 atoms:
1 Ir 0.0000 0.5000 0.0000  2 P 2.20
2 Ir 0.0000 0.0000 0.5000  2 P 2.20
3 Ir 0.5000 0.0000 0.0000  2 P 2.20
4 Ti 0.5000 0.5000 0.5000  12 Ir 3.11
5 P 0.0000 0.0000 0.0000  6 Ir 2.20

Computed properties:
* calculated total energy: -7.665 eV/atom



Compound: KPmP2O8
Source: Alexandria
Functional: PBE
Structure: relaxed

a b c (Å): 5.6594 5.6594 7.8641
angles (deg): 90.00 90.00 120.00
Closest atoms and distances in Å follow each position.
Fractional coordinates of all 12 atoms:
1 O 0.8127 0.1815 0.3145  1 P 1.54
2 O 0.6312 0.8127 0.6855  1 P 1.54
3 O 0.6667 0.3333 0.0540  1 P 1.55
4 O 0.1815 0.3688 0.6855  1 P 1.54
5 O 0.1873 0.8185 0.6855  1 P 1.54
6 O 0.3688 0.1873 0.3145  1 P 1.54
7 O 0.3333 0.6667 0.9460  1 P 1.55
8 O 0.8185 0.6312 0.3145  1 P 1.54
9 Pm 0.0000 0.0000 0.5000  6 O 2.32
10 P 0.3333 0.6667 0.7486  4 O 1.54-1.55
11 P 0.6667 0.3333 0.2514  4 O 1.54-1.55
12 K 0.0000 0.0000 0.0000  12 O 3.06-3.29

Computed properties:
* uncorrected formation energy: -2622 kJ/mol of formula units



Compound: Tl6S2ClF
Source: Alexandria
Functional: PBE
Structure: relaxed

a b c (Å): 8.5420 7.4877 8.6595
angles (deg): 50.17 56.69 50.52
Closest atoms and distances in Å follow each position.
Fractional coordinates of all 10 atoms:
1 Tl 0.9693 0.5226 0.3560  2 S 2.82-2.89
2 Tl 0.1503 0.3915 0.7148  1 F 2.62, 1 S 2.84
3 Tl 0.2187 0.9670 0.2781  1 F 2.58
4 Tl 0.2878 0.7776 0.7372  1 F 2.63
5 Tl 0.6112 0.3101 0.1922  2 S 2.86-2.97
6 Tl 0.7234 0.0902 0.7493  1 F 2.54
7 F 0.3447 0.2975 0.9279  4 Tl 2.54-2.63
8 Cl 0.6635 0.7912 0.6739  4 Tl 3.00-3.31
9 S 0.6416 0.5424 0.3327  4 Tl 2.82-3.01
10 S 0.0513 0.9716 0.0531  5 Tl 2.84-2.99

Computed properties:
* uncorrected formation energy: -653 kJ/mol of formula units



Compound: Pm10Sm4Er
Source: Alexandria
Functional: PBE
Structure: relaxed

a b c (Å): 7.8156 9.5834 9.5834
angles (deg): 80.43 65.94 65.94
Closest atoms and distances in Å follow each position.
Fractional coordinates of all 15 atoms:
1 Sm 0.3993 0.8017 0.3998  8 Pm 3.39-3.40
2 Sm 0.2010 0.3998 0.1983  8 Pm 3.39-3.40
3 Sm 0.6007 0.1983 0.6002  8 Pm 3.39-3.40
4 Sm 0.7990 0.6002 0.8017  8 Pm 3.39-3.40
5 Pm 0.7500 0.5000 0.5000  4 Sm 3.40
6 Pm 0.6523 0.2982 0.8995  1 Er 3.37, 3 Sm 3.39
7 Pm 0.4482 0.8995 0.7018  1 Er 3.37, 3 Sm 3.39
8 Pm 0.3477 0.7018 0.1005  1 Er 3.37, 3 Sm 3.39
9 Pm 0.2500 0.5000 0.5000  4 Sm 3.40
10 Pm 0.9505 0.8995 0.7018  1 Er 3.37, 3 Sm 3.39
11 Pm 0.8500 0.7018 0.1005  1 Er 3.37, 3 Sm 3.39
12 Pm 0.0495 0.1005 0.2982  1 Er 3.37, 3 Sm 3.39
13 Pm 0.5518 0.1005 0.2982  1 Er 3.37, 3 Sm 3.39
14 Pm 0.1500 0.2982 0.8995  1 Er 3.37, 3 Sm 3.39
15 Er 0.0000 0.0000 0.0000  8 Pm 3.37

Computed properties:
* calculated total energy: -4.018 eV/atom



Compound: Zn2AgIr
Source: Alexandria
Functional: PBE
Structure: relaxed

a b c (Å): 2.8447 4.0043 5.3858
angles (deg): 90.00 90.00 90.00
Closest atoms and distances in Å follow each position.
Fractional coordinates of all 4 atoms:
1 Zn 0.0000 0.0000 0.9716  2 Ag 2.63-2.75, 4 Ir 2.66, 6 Zn 2.84-2.92
2 Zn 0.5000 0.5000 0.2632  2 Ir 2.59-2.80, 4 Ag 2.73, 2 Zn 2.84
3 Ag 0.0000 0.0000 0.4824  6 Zn 2.63-2.75, 2 Ag 2.84, 4 Ir 2.94
4 Ir 0.5000 0.5000 0.7828  6 Zn 2.59-2.80, 2 Ir 2.84

Computed properties:
* calculated total energy: -3.545 eV/atom



Compound: UTiH
Source: Alexandria
Functional: PBE
Structure: relaxed

a b c (Å): 9.9664 2.8199 2.8199
angles (deg): 90.00 90.00 90.00
Closest atoms and distances in Å follow each position.
Fractional coordinates of all 6 atoms:
1 Ti 0.2500 0.5000 0.5000  4 H 1.99
2 Ti 0.7500 0.5000 0.5000  4 H 1.99
3 U 0.0000 0.0000 0.0000  2 H 2.49
4 U 0.5000 0.0000 0.0000  2 H 2.49
5 H 0.7500 0.0000 0.0000  4 Ti 1.99
6 H 0.2500 0.0000 0.0000  4 Ti 1.99

Computed properties:
* calculated total energy: -7.614 eV/atom



Compound: LaSmZnCu
Source: Alexandria
Functional: PBE
Structure: relaxed

a b c (Å): 3.6523 3.6523 7.3240
angles (deg): 90.00 90.00 90.00
Closest atoms and distances in Å follow each position.
Fractional coordinates of all 4 atoms:
1 La 0.5000 0.5000 0.1115  4 Cu 3.23, 4 Zn 3.26, 1 Sm 3.56
2 Zn 0.0000 0.0000 0.8409  4 Sm 3.14, 4 La 3.26, 1 Cu 3.39
3 Cu 0.0000 0.0000 0.3774  4 Sm 3.05, 4 La 3.23, 1 Zn 3.39
4 Sm 0.5000 0.5000 0.5982  4 Cu 3.05, 4 Zn 3.14

Computed properties:
* calculated total energy: -3.985 eV/atom



Please write out number 3 again, unchanged.
Compound: KPmP2O8
Source: Alexandria
Functional: PBE
Structure: relaxed

a b c (Å): 5.6594 5.6594 7.8641
angles (deg): 90.00 90.00 120.00
Closest atoms and distances in Å follow each position.
Fractional coordinates of all 12 atoms:
1 O 0.8127 0.1815 0.3145  1 P 1.54
2 O 0.6312 0.8127 0.6855  1 P 1.54
3 O 0.6667 0.3333 0.0540  1 P 1.55
4 O 0.1815 0.3688 0.6855  1 P 1.54
5 O 0.1873 0.8185 0.6855  1 P 1.54
6 O 0.3688 0.1873 0.3145  1 P 1.54
7 O 0.3333 0.6667 0.9460  1 P 1.55
8 O 0.8185 0.6312 0.3145  1 P 1.54
9 Pm 0.0000 0.0000 0.5000  6 O 2.32
10 P 0.3333 0.6667 0.7486  4 O 1.54-1.55
11 P 0.6667 0.3333 0.2514  4 O 1.54-1.55
12 K 0.0000 0.0000 0.0000  12 O 3.06-3.29

Computed properties:
* uncorrected formation energy: -2622 kJ/mol of formula units